(1)
The following is a PBE calculation of a relaxed structure of MnMoRu2, from the Alexandria database.

Geometry as POSCAR:
```
MnMoRu2
1.0
3.7954 0.0000 0.0000
0.0000 3.7954 0.0000
0.0000 0.0000 7.7671
Mn Mo Ru
2 2 4
Cartesian
0.0000 0.0000 0.0000 Mn
1.8977 1.8977 3.8836 Mn
0.0000 1.8977 5.8254 Mo
1.8977 0.0000 1.9418 Mo
0.0000 0.0000 3.8836 Ru
0.0000 1.8977 1.9418 Ru
1.8977 0.0000 5.8254 Ru
1.8977 1.8977 0.0000 Ru
```

The calculation puts the calculated formation energy at 0.06 eV per atom. Its density of states at the Fermi level is 1.1056 states/eV/atom.



(2)
The following is a PBE calculation of a relaxed structure of MnMoRu, from the Alexandria database.

Geometry as POSCAR:
```
MnMoRu
1.0
4.2131 0.0000 0.0000
-2.1066 3.6487 0.0000
0.0000 0.0000 2.6736
Mn Mo Ru
1 1 1
Cartesian
0.0000 0.0000 0.0000 Mn
2.1066 1.2162 0.0000 Mo
0.0000 2.4325 1.3368 Ru
```

The calculation puts the calculated formation energy at 0.17 eV per atom. Its density of states at the Fermi level is 1.1113 states/eV/atom.



(3)
The following is a PBE calculation of a relaxed structure of MnMoRu2, from the Alexandria database.

Geometry as POSCAR:
```
MnMoRu2
1.0
3.0711 0.0000 0.0000
0.0000 4.2579 0.0000
0.0000 0.0000 8.7253
Mn Mo Ru
2 2 4
Cartesian
0.0000 0.0000 0.0000 Mn
1.5355 2.1290 4.3626 Mn
0.0000 2.1290 6.4470 Mo
1.5355 0.0000 2.0844 Mo
0.0000 0.0000 4.3134 Ru
0.0000 2.1290 2.3053 Ru
1.5355 0.0000 6.6679 Ru
1.5355 2.1290 8.6760 Ru
```

The calculation puts the calculated formation energy at 0.16 eV per atom. Its density of states at the Fermi level is 1.1898 states/eV/atom.



(4)
The following is a PBE calculation of a relaxed structure of MnMoRu4, from the Alexandria database.

Geometry as POSCAR:
```
MnMoRu4
1.0
0.0000 3.5725 3.5725
3.5725 0.0000 3.5725
3.5725 3.5725 0.0000
Mn Mo Ru
1 1 4
Cartesian
0.0000 0.0000 0.0000 Mn
5.3588 5.3588 5.3588 Mo
2.6766 2.6766 2.6766 Ru
4.4685 4.4685 2.6766 Ru
4.4685 2.6766 4.4685 Ru
2.6766 4.4685 4.4685 Ru
```

The calculation puts the calculated formation energy at 0.37 eV per atom. Its density of states at the Fermi level is 1.2901 states/eV/atom.



(5)
The following is a PBE calculation of a relaxed structure of MnMoRu2, from the Alexandria database.

Geometry as POSCAR:
```
MnMoRu2
1.0
2.7028 0.0000 0.0000
-1.3514 2.3407 0.0000
0.0000 0.0000 26.4512
Mn Mo Ru
3 3 6
Cartesian
0.0000 0.0000 0.0000 Mn
0.0000 1.5605 17.6341 Mn
1.3514 0.7802 8.8171 Mn
0.0000 0.0000 19.9059 Mo
0.0000 1.5605 11.0888 Mo
1.3514 0.7802 2.2718 Mo
0.0000 0.0000 6.8284 Ru
0.0000 0.0000 13.3141 Ru
0.0000 1.5605 4.4970 Ru
0.0000 1.5605 24.4625 Ru
1.3514 0.7802 15.6454 Ru
1.3514 0.7802 22.1311 Ru
```

The calculation puts the calculated formation energy at 0.18 eV per atom. Its density of states at the Fermi level is 0.9514 states/eV/atom.



(6)
The following is a PBE calculation of a relaxed structure of Mn2Mo2Ru, from the Alexandria database.

Geometry as POSCAR:
```
Mn2Mo2Ru
1.0
6.8197 0.0000 0.0000
0.0000 6.8197 0.0000
0.0000 0.0000 2.9633
Mn Mo Ru
4 4 2
Cartesian
0.8766 2.5332 0.0000 Mn
2.5332 5.9431 0.0000 Mn
4.2865 0.8766 0.0000 Mn
5.9431 4.2865 0.0000 Mn
1.1961 4.6060 1.4817 Mo
2.2138 1.1961 1.4817 Mo
4.6060 5.6237 1.4817 Mo
5.6237 2.2138 1.4817 Mo
0.0000 0.0000 0.0000 Ru
3.4099 3.4099 0.0000 Ru
```

The calculation puts the calculated formation energy at 0.23 eV per atom. Its density of states at the Fermi level is 1.3593 states/eV/atom.



(7)
The following is a PBE calculation of a relaxed structure of MnMoRu, from the Alexandria database.

Geometry as POSCAR:
```
MnMoRu
1.0
5.3750 0.0000 0.0000
-2.6875 4.6549 0.0000
0.0000 0.0000 10.6553
Mn Mo Ru
6 6 6
Cartesian
-0.4512 2.8427 1.7759 Mn
0.4512 2.8427 8.8794 Mn
0.0000 3.6242 5.3276 Mn
2.6875 1.0306 5.3276 Mn
2.2363 1.8121 8.8794 Mn
3.1387 1.8121 1.7759 Mn
0.0000 0.0000 1.7759 Mo
0.0000 0.0000 5.3276 Mo
0.0000 0.0000 8.8794 Mo
-1.3437 2.3274 7.1035 Mo
2.6875 0.0000 0.0000 Mo
1.3437 2.3274 3.5518 Mo
-1.3437 2.3274 4.0445 Ru
-1.3437 2.3274 10.1626 Ru
2.6875 0.0000 3.0591 Ru
2.6875 0.0000 7.5962 Ru
1.3437 2.3274 0.4927 Ru
1.3437 2.3274 6.6108 Ru
```

The calculation puts the calculated formation energy at 0.51 eV per atom. Its density of states at the Fermi level is 0.9408 states/eV/atom.



(8)
The following is a PBE calculation of a relaxed structure of MnMoRu, from the Alexandria database.

Geometry as POSCAR:
```
MnMoRu
1.0
3.1031 0.0000 0.0000
0.0000 3.1031 0.0000
0.0000 0.0000 8.9627
Mn Mo Ru
2 2 2
Cartesian
0.0000 0.0000 0.0000 Mn
1.5515 1.5515 4.4814 Mn
0.0000 0.0000 3.0083 Mo
1.5515 1.5515 7.4896 Mo
0.0000 0.0000 5.9993 Ru
1.5515 1.5515 1.5180 Ru
```

The calculation puts the calculated formation energy at 0.09 eV per atom. Its density of states at the Fermi level is 0.6703 states/eV/atom.



(9)
The following is a PBE calculation of a relaxed structure of MnMoRu2, from the Alexandria database.

Geometry as POSCAR:
```
MnMoRu2
1.0
2.7183 0.0000 0.0000
0.0000 2.7183 0.0000
0.0000 0.0000 7.4272
Mn Mo Ru
1 1 2
Cartesian
0.0000 0.0000 0.0000 Mn
0.0000 0.0000 3.7136 Mo
1.3591 1.3591 1.6907 Ru
1.3591 1.3591 5.7365 Ru
```

The calculation puts the calculated formation energy at 0.09 eV per atom. Its density of states at the Fermi level is 1.2716 states/eV/atom.



(10)
The following is a PBE calculation of a relaxed structure of Mn8MoRu3, from the Alexandria database.

Geometry as POSCAR:
```
Mn8MoRu3
1.0
4.6726 0.0000 0.0000
-2.3363 4.0466 0.0000
0.0000 0.0000 7.6193
Mn Mo Ru
8 1 3
Cartesian
0.0000 0.0000 0.0000 Mn
0.0000 0.0000 3.8001 Mn
0.0000 1.4129 1.9263 Mn
-1.1126 3.3401 1.9263 Mn
1.2212 0.7051 5.7104 Mn
1.1126 3.3401 1.9263 Mn
3.4514 0.7051 5.7104 Mn
2.3363 2.6364 5.7104 Mn
2.3363 1.3489 0.4882 Mo
0.0000 2.6977 4.3300 Ru
0.0000 2.6977 7.0731 Ru
2.3363 1.3489 3.2804 Ru
```

The calculation puts the calculated formation energy at -0.02 eV per atom. Its density of states at the Fermi level is 1.1050 states/eV/atom.



(11)
The following is a PBE calculation of a relaxed structure of MnMoRu2, from the Alexandria database.

Geometry as POSCAR:
```
MnMoRu2
1.0
3.0089 0.0000 0.0000
0.0000 3.0089 0.0000
0.0000 0.0000 6.3115
Mn Mo Ru
1 1 2
Cartesian
0.0000 0.0000 0.0000 Mn
1.5044 1.5044 1.6102 Mo
0.0000 0.0000 3.1422 Ru
1.5044 1.5044 5.0037 Ru
```

The calculation puts the calculated formation energy at 0.21 eV per atom. Its density of states at the Fermi level is 1.2094 states/eV/atom.



(12)
The following is a PBE calculation of a relaxed structure of MnMoRu2, from the Alexandria database.

Geometry as POSCAR:
```
MnMoRu2
1.0
3.8817 0.0000 0.0000
0.0000 3.8817 0.0000
0.0000 0.0000 7.4310
Mn Mo Ru
2 2 4
Cartesian
0.0000 0.0000 0.0000 Mn
1.9409 1.9409 3.7155 Mn
0.0000 0.0000 3.7155 Mo
1.9409 1.9409 0.0000 Mo
0.0000 1.9409 1.8578 Ru
0.0000 1.9409 5.5733 Ru
1.9409 0.0000 1.8578 Ru
1.9409 0.0000 5.5733 Ru
```

The calculation puts the calculated formation energy at 0.06 eV per atom. Its density of states at the Fermi level is 1.1327 states/eV/atom.



> Number 8 is which compound?

MnMoRu